Below is a PBEsol-optimized structure of Fe2Pb3, with properties calculated at the SCAN level.

## Properties
Fermi-level density of states ... 0.64 states/eV/atom
Total magnetic moment ... 5.38 μB per formula unit
Energy relative to the elements ... 528 meV/atom
Density ... 11.63 Mg/m³
Energy ... -52.192 eV/atom

Cell and atoms, written as CIF:
```
data_Fe2Pb3
_chemical_formula_sum 'Fe6 Pb9'
_cell_length_a 3.3872
_cell_length_b 3.3872
_cell_length_c 31.6168
_cell_angle_alpha 90.00
_cell_angle_beta 90.00
_cell_angle_gamma 120.00
_symmetry_space_group_name_H-M 'R -3 m'
_symmetry_Int_Tables_number 166
_symmetry_space_group_name_Hall '-R 3 2"'
loop_
_atom_site_label
_atom_site_fract_x
_atom_site_fract_y
_atom_site_fract_z
Fe1 0.0000 0.0000 0.1060
Pb1 0.0000 0.0000 0.2886
Pb2 0.0000 0.0000 0.5000
```